(1)
Ba4Bi2I5 (PBE, relaxed); DFT total energy = -3.49 eV/atom; M_tot = 0.0 μB per formula unit; formation energy without anion corrections = -1462 kJ/mol of formula units; crystal system = monoclinic; mass density = 4.04 Mg/m³
1.0
-2.121 -2.726 -3.439
8.723 -4.072 -2.150
-0.899 -8.655 10.869
Ba I Bi
4 5 2
direct
0.984 0.265 0.967
0.327 0.402 0.653
0.016 0.735 0.033
0.673 0.598 0.347
0.139 0.827 0.277
0.861 0.173 0.723
0.799 0.645 0.598
0.201 0.355 0.402
0.500 0.000 0.000
0.552 0.457 0.104
0.448 0.543 0.896



(2)
K2Ba4Zn (PBE, relaxed); DFT total energy = -1.49 eV/atom; M_tot = 0.0 μB per formula unit; crystal system = tetragonal; mass density = 2.44 Mg/m³
1.0
6.537 0.000 0.000
0.000 6.537 0.000
3.269 3.269 11.054
Zn K Ba
1 2 4
direct
0.000 0.000 0.000
0.353 0.353 0.295
0.647 0.647 0.705
0.152 0.152 0.697
0.000 0.500 0.000
0.848 0.848 0.303
0.500 0.000 0.000



(3)
Sm2SnCl2 (PBE, relaxed); DFT total energy = -4.75 eV/atom; M_tot = 0.0 μB per formula unit; formation energy without anion corrections = -638 kJ/mol of formula units; crystal system = monoclinic; mass density = 5.26 Mg/m³
1.0
4.415 0.048 -0.780
2.443 8.909 1.469
1.405 1.919 8.050
Sn Sm Cl
2 4 4
direct
0.848 0.804 0.206
0.152 0.196 0.794
0.351 0.798 0.956
0.650 0.201 0.548
0.350 0.799 0.452
0.649 0.202 0.044
0.184 0.131 0.327
0.533 0.433 0.208
0.816 0.869 0.673
0.467 0.567 0.792



(4)
PdW3Cl (PBE, relaxed); relative energy among the computed polymorphs = 1190 meV/atom; DFT total energy = -6.53 eV/atom; M_tot = 1.1 μB per formula unit; formation energy without anion corrections = 1277 kJ/mol of formula units; crystal system = cubic; mass density = 10.32 Mg/m³
1.0
-3.545 2.467 2.129
-0.960 -3.796 2.801
3.114 1.638 3.287
Pd W Cl
1 3 1
direct
0.000 0.000 0.000
0.000 0.500 0.000
0.500 0.000 0.000
0.000 0.000 0.500
0.500 0.500 0.500



(5)
MgV3W (PBE, relaxed); relative energy among the computed polymorphs = 0 meV/atom; DFT total energy = -7.19 eV/atom; M_tot = 0.0 μB per formula unit; crystal system = cubic; mass density = 6.02 Mg/m³
1.0
-4.541 -0.268 0.883
-0.240 -3.938 -2.430
0.891 -2.427 3.846
W Mg V
1 1 3
direct
0.000 0.000 0.000
0.500 0.500 0.500
0.000 0.500 0.000
0.000 0.000 0.500
0.500 0.000 0.000



(6)
CsYMg2 (PBE, relaxed); relative energy among the computed polymorphs = 0 meV/atom; DFT total energy = -2.19 eV/atom; M_tot = 0.0 μB per formula unit; crystal system = cubic; mass density = 3.08 Mg/m³
1.0
0.000 4.177 4.177
4.177 0.000 4.177
4.177 4.177 0.000
Mg Y Cs
2 1 1
direct
0.250 0.250 0.250
0.750 0.750 0.750
0.000 0.000 0.000
0.500 0.500 0.500



(7)
AlP2Au (PBE, relaxed); DFT total energy = -4.08 eV/atom; M_tot = 0.0 μB per formula unit; crystal system = tetragonal; mass density = 7.29 Mg/m³
1.0
4.706 0.034 0.000
0.862 4.626 0.000
-2.784 -2.330 2.994
P Au Al
2 1 1
direct
0.250 0.750 0.500
0.000 0.000 0.000
0.750 0.250 0.500
0.500 0.500 0.000



(8)
CrMoRh2 (PBE, relaxed); relative energy among the computed polymorphs = 4 meV/atom; DFT total energy = -8.90 eV/atom; M_tot = 0.6 μB per formula unit; crystal system = orthorhombic; mass density = 10.50 Mg/m³
1.0
-3.522 1.172 2.221
-1.539 -1.550 -1.622
0.622 -3.688 2.932
Rh Cr Mo
2 1 1
direct
0.500 0.125 0.306
0.000 0.125 0.953
0.000 0.625 0.453
0.500 0.625 0.788



(9)
Sc3GeO (PBE, relaxed); relative energy among the computed polymorphs = 56 meV/atom; DFT total energy = -7.14 eV/atom; M_tot = 0.3 μB per formula unit; formation energy without anion corrections = -689 kJ/mol of formula units; crystal system = monoclinic; mass density = 3.89 Mg/m³
1.0
-3.257 -0.255 1.862
0.425 -6.132 -3.893
3.177 -4.338 4.965
Sc Ge O
6 2 2
direct
0.679 0.359 0.872
0.842 0.683 0.462
0.050 0.101 0.166
0.950 0.899 0.834
0.158 0.317 0.538
0.321 0.641 0.128
0.326 0.651 0.741
0.674 0.349 0.259
0.906 0.811 0.148
0.094 0.189 0.852



(10)
TeRuBr2 (PBE, relaxed); DFT total energy = -3.47 eV/atom; M_tot = 0.0 μB per formula unit; formation energy without anion corrections = 182 kJ/mol of formula units; crystal system = trigonal; mass density = 5.87 Mg/m³
1.0
1.805 0.000 12.992
-0.902 1.563 12.992
-0.902 -1.563 12.992
Ru Te Br
1 1 2
direct
0.000 0.000 0.000
0.500 0.500 0.500
0.060 0.060 0.060
0.940 0.940 0.940



(11)
Rb2TiCl2F4 (PBE, relaxed); DFT total energy = -5.09 eV/atom; M_tot = 0.0 μB per formula unit; formation energy without anion corrections = -2397 kJ/mol of formula units; crystal system = monoclinic; mass density = 3.01 Mg/m³
1.0
5.213 -0.604 -0.411
0.536 6.840 0.895
0.536 3.344 6.033
Rb Ti F Cl
2 1 4 2
direct
0.851 0.359 0.359
0.149 0.641 0.641
0.500 0.000 0.000
0.731 0.261 0.827
0.731 0.827 0.261
0.269 0.173 0.739
0.269 0.739 0.173
0.338 0.180 0.180
0.662 0.820 0.820



(12)
Be5AlRh6 (PBE, relaxed); DFT total energy = -6.24 eV/atom; M_tot = 0.0 μB per formula unit; crystal system = orthorhombic; mass density = 8.44 Mg/m³
1.0
3.907 0.002 -0.814
-0.002 5.673 -0.001
-0.725 0.000 6.270
Rh Be Al
6 5 1
direct
0.171 0.746 0.341
0.829 0.254 0.659
0.171 0.254 0.341
0.829 0.746 0.659
0.500 0.259 0.000
0.500 0.741 0.000
0.665 0.500 0.330
0.000 0.500 0.000
0.335 0.500 0.670
0.335 0.000 0.668
0.665 0.000 0.332
0.000 0.000 0.000



(13)
YPbO2F (PBE, relaxed); DFT total energy = -6.82 eV/atom; M_tot = 0.0 μB per formula unit; formation energy without anion corrections = -1169 kJ/mol of formula units; crystal system = tetragonal; mass density = 6.72 Mg/m³
1.0
4.474 0.000 0.000
0.000 4.474 0.000
0.000 0.000 4.284
O Pb Y F
2 1 1 1
direct
0.500 0.000 0.000
0.000 0.500 0.000
0.500 0.500 0.500
0.000 0.000 0.000
0.000 0.000 0.500



(14)
Be2CrTe (PBE, relaxed); DFT total energy = -4.42 eV/atom; M_tot = 2.9 μB per formula unit; formation energy without anion corrections = 244 kJ/mol of formula units; crystal system = monoclinic; mass density = 5.13 Mg/m³
1.0
-1.719 -2.294 2.488
4.246 -2.127 -2.208
3.212 0.454 2.067
Te Cr Be
1 1 2
direct
0.500 0.500 0.000
0.000 0.500 0.500
0.000 0.000 0.000
0.500 0.000 0.500



(15)
ErTm7In4 (PBE, relaxed); DFT total energy = -3.96 eV/atom; M_tot = 0.0 μB per formula unit; crystal system = monoclinic; mass density = 8.74 Mg/m³
1.0
-1.147 -5.379 1.137
2.599 -1.683 8.529
-6.510 -0.668 4.141
In Tm Er
4 7 1
direct
0.441 0.750 0.369
0.681 0.663 0.975
0.559 0.250 0.631
0.319 0.337 0.025
0.500 0.000 0.000
0.211 0.122 0.456
0.729 0.326 0.216
0.934 0.402 0.730
0.271 0.674 0.784
0.066 0.598 0.270
0.789 0.878 0.544
0.000 0.000 0.000



(16)
FeAs2SeN (PBE, relaxed); relative energy among the computed polymorphs = 0 meV/atom; DFT total energy = -4.93 eV/atom; M_tot = 2.5 μB per formula unit; formation energy without anion corrections = 475 kJ/mol of formula units; crystal system = tetragonal; mass density = 6.52 Mg/m³
1.0
-1.554 2.929 2.561
-3.527 -2.225 0.403
1.698 -2.074 3.402
N As Se Fe
1 2 1 1
direct
0.000 0.000 0.000
0.500 0.000 0.000
0.000 0.500 0.000
0.000 0.000 0.500
0.500 0.500 0.500



(17)
Sm6GeSb5 (PBE, relaxed); DFT total energy = -5.55 eV/atom; M_tot = 0.0 μB per formula unit; formation energy without anion corrections = -1255 kJ/mol of formula units; crystal system = monoclinic; mass density = 7.12 Mg/m³
1.0
7.582 0.187 1.153
1.864 6.441 3.754
0.127 0.071 7.679
Sb Sm Ge
5 6 1
direct
0.500 0.171 0.658
0.500 0.500 0.000
0.500 0.829 0.342
0.000 0.334 0.332
0.000 0.666 0.668
0.757 0.081 0.324
0.757 0.405 0.676
0.753 0.759 0.000
0.247 0.241 0.000
0.243 0.595 0.324
0.243 0.919 0.676
0.000 0.000 0.000



(18)
Co2Ni5Rh2 (PBE, relaxed); DFT total energy = -6.20 eV/atom; M_tot = 8.4 μB per formula unit; crystal system = monoclinic; mass density = 9.18 Mg/m³
1.0
-5.255 -4.733 -4.704
4.956 -3.680 5.835
-2.673 -2.479 2.837
Co Rh Ni
4 4 10
direct
0.823 0.457 0.143
0.543 0.177 0.857
0.177 0.543 0.857
0.457 0.823 0.143
0.500 0.000 0.500
0.940 0.940 0.324
0.060 0.060 0.676
0.000 0.500 0.500
0.146 0.854 0.000
0.332 0.332 0.863
0.453 0.280 0.333
0.720 0.547 0.667
0.840 0.160 0.500
0.280 0.453 0.333
0.854 0.146 0.000
0.668 0.668 0.137
0.160 0.840 0.500
0.547 0.720 0.667



(19)
LiTa2Al (PBE, relaxed); relative energy among the computed polymorphs = 20 meV/atom; DFT total energy = -7.29 eV/atom; M_tot = 0.0 μB per formula unit; crystal system = tetragonal; mass density = 9.43 Mg/m³
1.0
-1.349 0.829 2.316
2.062 -1.060 1.580
4.235 7.772 -0.314
Ta Al Li
2 1 1
direct
0.500 0.500 0.263
0.000 0.000 0.005
0.000 0.000 0.502
0.500 0.500 0.730